Below is an optimized crystal structure of TeW4Cl, with properties calculated at the PBE level.

Cell: 5.456 5.456 5.456 Å, 60.00 60.00 60.00°
Sites, in units of the cell vectors:
Te 0.000 0.000 0.000
W 0.133 0.622 0.622
W 0.622 0.133 0.622
W 0.622 0.622 0.133
W 0.622 0.622 0.622
Cl 0.250 0.250 0.250

Results
- crystal system = cubic
- total DFT energy (no corrections) (Ry/atom) = -0.6029
- space-group type = F-43m, No. 216